[1]
Density functional theory data (GGA-PBE) for PrGd2Sn3Pd2Pt after structural relaxation.

Lattice parameters (Å, degrees): 4.0832 7.6181 7.6181 120.08 90.00 90.00
Closest atoms and distances in Å follow each position.
Positions (direct):
Pr 0.0000 0.0000 0.0000  4 Pd 3.11, 1 Pt 3.14, 6 Sn 3.28-3.42
Gd 0.0000 0.1853 0.5917  4 Pd 3.06-3.07, 1 Pt 3.08, 6 Sn 3.29-3.39
Gd 0.0000 0.5917 0.1853  4 Pd 3.06-3.07, 1 Pt 3.08, 6 Sn 3.29-3.39
Sn 0.5000 0.3367 0.3367  2 Pt 2.79, 2 Pd 2.92
Sn 0.5000 0.5889 0.8452  2 Pd 2.83-2.91, 2 Pt 2.83
Sn 0.5000 0.8452 0.5889  2 Pd 2.83-2.91, 2 Pt 2.83
Pd 0.5000 0.2621 0.9221  3 Sn 2.83-2.92, 4 Gd 3.06-3.07, 2 Pr 3.11
Pd 0.5000 0.9221 0.2621  3 Sn 2.83-2.92, 4 Gd 3.06-3.07, 2 Pr 3.11
Pt 0.0000 0.5868 0.5868  6 Sn 2.79-2.83, 2 Gd 3.08

Calculated values
Magnetization, Bohr magnetons per cell: 0.000
Crystal system: orthorhombic
Symmetry: Amm2, No. 38
Uncorrected energy, eV per cell: -51.217

***

[2]
Density functional theory data (GGA-PBE) for NdAgMo after structural relaxation.

Lattice parameters (Å, degrees): 4.7670 4.7670 4.7670 60.00 60.00 60.00
Closest atoms and distances in Å follow each position.
Positions (direct):
Nd 0.0000 0.0000 0.0000  4 Mo 2.92
Ag 0.5000 0.5000 0.5000  4 Mo 2.92
Mo 0.7500 0.7500 0.7500  4 Ag 2.92, 4 Nd 2.92

Calculated values
Formation energy, eV/atom: 0.973
Magnetization, Bohr magnetons per cell: 2.555
Crystal system: cubic
Symmetry: F-43m, No. 216

***

[3]
Density functional theory data (GGA-PBE) for Y2Nb4Ga3N3 after structural relaxation.

Lattice parameters (Å, degrees): 5.6011 5.6011 14.1010 101.66 101.66 60.22
Closest atoms and distances in Å follow each position.
Positions (direct):
Y 0.0391 0.8776 0.6142  3 N 2.40-2.46
Y 0.1224 0.9609 0.8858  3 N 2.40-2.46
Y 0.8776 0.0391 0.1142  3 N 2.40-2.46
Y 0.9609 0.1224 0.3858  3 N 2.40-2.46
Nb 0.1948 0.3562 0.0799  3 N 2.16-2.21
Nb 0.3030 0.4756 0.4201  3 N 2.16-2.21
Nb 0.3562 0.1948 0.5799  3 N 2.16-2.21
Nb 0.4756 0.3030 0.9201  3 N 2.16-2.21
Nb 0.5244 0.6970 0.0799  3 N 2.16-2.21
Nb 0.6438 0.8052 0.4201  3 N 2.16-2.21
Nb 0.6970 0.5244 0.5799  3 N 2.16-2.21
Nb 0.8052 0.6438 0.9201  3 N 2.16-2.21
Ga 0.0852 0.3947 0.7508  4 Ga 2.80-2.82, 4 Nb 2.83-2.85
Ga 0.3947 0.0852 0.2508  4 Ga 2.80-2.82, 4 Nb 2.83-2.85
Ga 0.4371 0.5629 0.2500  4 Ga 2.80-2.81, 4 Nb 2.84-2.85
Ga 0.5629 0.4371 0.7500  4 Ga 2.80-2.81, 4 Nb 2.84-2.85
Ga 0.6053 0.9148 0.7492  4 Ga 2.80-2.82, 4 Nb 2.83-2.85
Ga 0.9148 0.6053 0.2492  4 Ga 2.80-2.82, 4 Nb 2.83-2.85
N 0.0000 0.5000 0.5000  4 Nb 2.16
N 0.1624 0.6742 0.0000  4 Nb 2.16-2.21, 2 Y 2.40
N 0.3258 0.8376 0.5000  4 Nb 2.16-2.21, 2 Y 2.40
N 0.5000 0.0000 0.0000  4 Nb 2.16
N 0.6742 0.1624 0.5000  4 Nb 2.16-2.21, 2 Y 2.40
N 0.8376 0.3258 0.0000  4 Nb 2.16-2.21, 2 Y 2.40

Calculated values
Magnetization, Bohr magnetons per cell: 0.001
Crystal system: monoclinic
Symmetry: C2/c, No. 15
Uncorrected energy, eV per cell: -196.029

***

[4]
Density functional theory data (GGA-PBE) for Nd2Y2CI3Cl2 after structural relaxation.

Lattice parameters (Å, degrees): 9.5285 9.5285 8.8181 101.38 101.38 24.10
Closest atoms and distances in Å follow each position.
Positions (direct):
Nd 0.0005 0.0005 0.3044  2 C 2.63, 1 Cl 2.86
Nd 0.9995 0.9995 0.6956  2 C 2.63, 1 Cl 2.86
Y 0.3675 0.3675 0.4340  1 C 2.42
Y 0.6325 0.6325 0.5660  1 C 2.42
C 0.5000 0.5000 0.5000  2 Y 2.42, 4 Nd 2.63
I 0.1752 0.1752 0.3275  2 Y 3.11, 1 Nd 3.22
I 0.5000 0.5000 0.0000  4 Nd 3.34
I 0.8248 0.8248 0.6725  2 Y 3.11, 1 Nd 3.22
Cl 0.1555 0.1555 0.7851  2 Y 2.75, 1 Nd 2.86
Cl 0.8445 0.8445 0.2149  2 Y 2.75, 1 Nd 2.86

Calculated values
Magnetization, Bohr magnetons per cell: 0.015
E above lowest polymorph, meV/atom: 0
Crystal system: monoclinic
Symmetry: C2/m, No. 12

***

[5]
Density functional theory data (GGA-PBE) for Cu4Ag after structural relaxation.

Lattice parameters (Å, degrees): 4.5689 4.5689 8.3646 90.09 90.09 48.21
Closest atoms and distances in Å follow each position.
Positions (direct):
Cu 0.0000 0.0000 0.0000  6 Ag 2.64-2.70, 6 Cu 2.73-2.74
Cu 0.0925 0.0925 0.6877  10 Cu 2.50-2.73, 2 Ag 2.66
Cu 0.2001 0.2001 0.4093  11 Cu 2.50-2.67, 1 Ag 2.65
Cu 0.3983 0.3983 0.7830  8 Cu 2.52-2.74, 3 Ag 2.63-2.67
Cu 0.5000 0.5000 0.5000  12 Cu 2.52-2.62
Cu 0.6017 0.6017 0.2170  8 Cu 2.52-2.74, 3 Ag 2.63-2.67
Cu 0.7999 0.7999 0.5907  11 Cu 2.50-2.67, 1 Ag 2.65
Cu 0.9075 0.9075 0.3123  10 Cu 2.50-2.73, 2 Ag 2.66
Ag 0.3045 0.3045 0.1101  10 Cu 2.63-2.85, 2 Ag 2.77
Ag 0.6955 0.6955 0.8899  10 Cu 2.63-2.85, 2 Ag 2.77

Calculated values
Formation energy, eV/atom: 0.064
E above lowest polymorph, meV/atom: 20
Crystal system: monoclinic
Symmetry: C2/m, No. 12

***

[6]
Density functional theory data (GGA-PBE) for MgCoBiMo after structural relaxation.

Lattice parameters (Å, degrees): 4.5845 4.5845 4.5845 60.00 60.00 60.00
Closest atoms and distances in Å follow each position.
Positions (direct):
Mg 0.0000 0.0000 0.0000  4 Co 2.81, 4 Mo 2.81
Co 0.7500 0.7500 0.7500  4 Bi 2.81, 4 Mg 2.81
Bi 0.5000 0.5000 0.5000  4 Mo 2.81, 4 Co 2.81
Mo 0.2500 0.2500 0.2500  4 Bi 2.81, 4 Mg 2.81

Calculated values
Magnetization, Bohr magnetons per cell: 0.797
E above lowest polymorph, meV/atom: 0
Crystal system: cubic
Symmetry: F-43m, No. 216

***

[7]
Density functional theory data (GGA-PBE) for YSn2Ir after structural relaxation.

Lattice parameters (Å, degrees): 4.9952 4.9952 4.9952 60.00 60.00 60.00
Closest atoms and distances in Å follow each position.
Positions (direct):
Y 0.0000 0.0000 0.0000  4 Ir 3.06, 4 Sn 3.06
Sn 0.2500 0.2500 0.2500  4 Sn 3.06, 4 Y 3.06
Sn 0.5000 0.5000 0.5000  4 Ir 3.06, 4 Sn 3.06
Ir 0.7500 0.7500 0.7500  4 Sn 3.06, 4 Y 3.06

Calculated values
Magnetization, Bohr magnetons per cell: 0.001
Crystal system: cubic
Symmetry: F-43m, No. 216
Uncorrected energy, eV per cell: -24.499

***

[8]
Density functional theory data (GGA-PBE) for HoBeAg after structural relaxation.

Lattice parameters (Å, degrees): 4.6363 4.6363 4.6363 60.00 60.00 60.00
Closest atoms and distances in Å follow each position.
Positions (direct):
Ho 0.0000 0.0000 0.0000  4 Ag 2.84, 4 Be 2.84
Be 0.2500 0.2500 0.2500  4 Ho 2.84
Ag 0.7500 0.7500 0.7500  4 Ho 2.84

Calculated values
Magnetization, Bohr magnetons per cell: 0.014
Crystal system: cubic
Symmetry: F-43m, No. 216
Uncorrected energy, eV per cell: -9.173

***

Please write out number 5 again, unchanged.
Density functional theory data (GGA-PBE) for Cu4Ag after structural relaxation.

Lattice parameters (Å, degrees): 4.5689 4.5689 8.3646 90.09 90.09 48.21
Closest atoms and distances in Å follow each position.
Positions (direct):
Cu 0.0000 0.0000 0.0000  6 Ag 2.64-2.70, 6 Cu 2.73-2.74
Cu 0.0925 0.0925 0.6877  10 Cu 2.50-2.73, 2 Ag 2.66
Cu 0.2001 0.2001 0.4093  11 Cu 2.50-2.67, 1 Ag 2.65
Cu 0.3983 0.3983 0.7830  8 Cu 2.52-2.74, 3 Ag 2.63-2.67
Cu 0.5000 0.5000 0.5000  12 Cu 2.52-2.62
Cu 0.6017 0.6017 0.2170  8 Cu 2.52-2.74, 3 Ag 2.63-2.67
Cu 0.7999 0.7999 0.5907  11 Cu 2.50-2.67, 1 Ag 2.65
Cu 0.9075 0.9075 0.3123  10 Cu 2.50-2.73, 2 Ag 2.66
Ag 0.3045 0.3045 0.1101  10 Cu 2.63-2.85, 2 Ag 2.77
Ag 0.6955 0.6955 0.8899  10 Cu 2.63-2.85, 2 Ag 2.77

Calculated values
Formation energy, eV/atom: 0.064
E above lowest polymorph, meV/atom: 20
Crystal system: monoclinic
Symmetry: C2/m, No. 12